Material: SrLaTl
Method: DFT, PBE-GGA
State: optimized geometry

The total magnetization comes out at 0.01 μB/cell. The calculation puts the formation energy from the elements at 0.2835 eV per atom. For the calculated volume, the calculation gives 111 Å³/f.u.

The structure belongs to space group F-43m (No. 216); the cell edges are 7.638, 7.638 and 7.638 Å and the angles 90.00°, 90.00° and 90.00°. Symmetry generates all atoms from Sr at (0.000, 0.000, 0.000), La at (0.250, 0.250, 0.750) and Tl at (0.250, 0.250, 0.250).